[1]
# VCrS2N (PBE, relaxed)
# Size of the total moment ... 0.5 μB per cell
# Crystal system ... tetragonal
# Uncorrected formation energy ... 314.8 meV/atom
# Final energy ... -6.75 eV/atom
# DOS at the Fermi energy ... 8.31 states/eV/f.u.
data_VCrS2N
_chemical_formula_sum 'V1 Cr1 S2 N1'
_symmetry_space_group_name_H-M 'P 1'
_symmetry_Int_Tables_number 1
_symmetry_space_group_name_Hall 'P 1'
_cell_length_a 4.651
_cell_length_b 4.651
_cell_length_c 3.499
_cell_angle_alpha 90.00
_cell_angle_beta 90.00
_cell_angle_gamma 90.00
loop_
_atom_site_label
_atom_site_type_symbol
_atom_site_fract_x
_atom_site_fract_y
_atom_site_fract_z
N1 N 0.000 0.000 0.500
Cr1 Cr 0.000 0.000 0.000
S1 S 0.000 0.500 0.000
V1 V 0.500 0.500 0.500
S2 S 0.500 0.000 0.000



[2]
# PuH4Os (PBE, relaxed)
# Size of the total moment ... 9.4 μB per cell
# Crystal system ... orthorhombic
# Final energy ... -6.47 eV/atom
# DOS at the Fermi energy ... 7.67 states/eV/f.u.
data_PuH4Os
_chemical_formula_sum 'Pu2 H8 Os2'
_symmetry_space_group_name_H-M 'P 1'
_symmetry_Int_Tables_number 1
_symmetry_space_group_name_Hall 'P 1'
_cell_length_a 4.232
_cell_length_b 4.232
_cell_length_c 7.428
_cell_angle_alpha 90.00
_cell_angle_beta 90.00
_cell_angle_gamma 65.92
loop_
_atom_site_label
_atom_site_type_symbol
_atom_site_fract_x
_atom_site_fract_y
_atom_site_fract_z
Pu1 Pu 0.105 0.895 0.000
Os1 Os 0.341 0.242 0.750
H1 H 0.417 0.622 0.750
H2 H 0.991 0.441 0.616
H3 H 0.559 0.009 0.384
H4 H 0.029 0.232 0.250
Pu2 Pu 0.105 0.895 0.500
H5 H 0.991 0.441 0.884
Os2 Os 0.758 0.659 0.250
H6 H 0.768 0.971 0.750
H7 H 0.378 0.583 0.250
H8 H 0.559 0.009 0.116



[3]
# Ce3Sb2P (PBE, relaxed)
# Size of the total moment ... 4.7 μB per cell
# Crystal system ... monoclinic
# Uncorrected formation energy ... -1143.0 meV/atom
# Final energy ... -6.39 eV/atom
# DOS at the Fermi energy ... 16.09 states/eV/f.u.
data_Ce3Sb2P
_chemical_formula_sum 'Ce6 Sb4 P2'
_symmetry_space_group_name_H-M 'P 1'
_symmetry_Int_Tables_number 1
_symmetry_space_group_name_Hall 'P 1'
_cell_length_a 7.513
_cell_length_b 7.565
_cell_length_c 7.565
_cell_angle_alpha 119.61
_cell_angle_beta 99.59
_cell_angle_gamma 99.59
loop_
_atom_site_label
_atom_site_type_symbol
_atom_site_fract_x
_atom_site_fract_y
_atom_site_fract_z
Sb1 Sb 0.250 0.918 0.082
Ce1 Ce 0.996 0.800 0.648
Ce2 Ce 0.496 0.648 0.800
Ce3 Ce 0.500 0.000 0.500
Ce4 Ce 0.004 0.200 0.352
Sb2 Sb 0.750 0.758 0.242
Ce5 Ce 0.000 0.500 0.000
Sb3 Sb 0.750 0.082 0.918
Sb4 Sb 0.250 0.242 0.758
P1 P 0.250 0.587 0.413
P2 P 0.750 0.413 0.587
Ce6 Ce 0.504 0.352 0.200